The following is a DFT calculation (PBE with a Hubbard U) of crystalline VB6O6 at its relaxed geometry.

Computed properties:
Symmetry: C2/m, No. 12
Total DFT energy (no corrections): -7.367 eV/atom

The structure in POSCAR format:
```
VB6O6
1.0
3.795 3.442 -0.736
-3.795 3.442 -0.736
0.000 2.500 6.127
V B O
1 6 6
direct
0.000 0.000 0.000 V
0.560 0.560 0.376 B
0.440 0.440 0.624 B
0.854 0.523 0.064 B
0.146 0.477 0.936 B
0.523 0.854 0.064 B
0.477 0.146 0.936 B
0.770 0.454 0.275 O
0.230 0.546 0.725 O
0.714 0.714 0.956 O
0.546 0.230 0.725 O
0.286 0.286 0.044 O
0.454 0.770 0.275 O
```